Material: Li2Ca2PrGe2
Method: DFT, GGA-PBE
State: relaxed

Cell: 4.5310 4.5310 30.1912 Å, 90.00 90.00 120.00°
Closest atoms and distances in Å follow each position.
Space group R-3m (No. 166, hexagonal axes)
Asymmetric unit:
Li1 0.0000 0.0000 0.1040  3 Ge 2.62
Ca1 0.0000 0.0000 0.3794  3 Li 3.15, 3 Ge 3.15
Pr1 0.0000 0.0000 0.5000  6 Ge 3.23, 6 Li 3.23
Ge1 0.0000 0.0000 0.2293  3 Li 2.62

Values from the calculation:
For the total magnetization, the calculation gives 0.636 μB per formula unit. Its total energy is -3.612 eV per atom.

***

Material: LiNd2CuO5
Method: DFT, GGA-PBE
State: relaxed

Cell: 6.7379 6.7379 5.5810 Å, 90.00 90.00 90.00°
Closest atoms and distances in Å follow each position.
Space group P4/mbm (No. 127)
Asymmetric unit:
Li1 0.0000 0.0000 0.0000  10 O 2.79-2.95
Nd1 0.1774 0.3226 0.5000  8 O 2.33-2.56
Cu1 0.0000 0.5000 0.0000  4 O 1.83
O1 0.0000 0.0000 0.5000  4 Nd 2.48
O2 0.1317 0.6317 0.2384  1 Cu 1.83

Values from the calculation:
For the total magnetization, the calculation gives 0.000 μB per formula unit. For the formation energy from raw total energies, the calculation gives -2198 meV/atom.

***

Material: Sm8S6N
Method: DFT, GGA-PBE
State: relaxed

Cell: 9.9490 9.9490 4.1275 Å, 90.00 90.00 120.00°
Closest atoms and distances in Å follow each position.
Space group P-3 (No. 147)
Asymmetric unit:
Sm1 0.0282 0.7225 0.2343  3 S 2.72-2.78
Sm2 0.3333 0.6667 0.7548  6 S 2.84-2.86
S1 0.1279 0.4778 0.2571  5 Sm 2.72-2.86
N1 0.0000 0.0000 0.0000  6 Sm 3.07

Values from the calculation:
For the total magnetization, the calculation gives 0.000 μB per formula unit. For the formation energy from raw total energies, the calculation gives -1267 meV/atom.

***

Material: Pm4N2Cl5
Method: DFT, GGA-PBE
State: relaxed

Cell: 18.5761 3.6319 7.9111 Å, 90.00 115.16 90.00°
Closest atoms and distances in Å follow each position.
Space group C2/m (No. 12)
Asymmetric unit:
Pm1 0.0000 0.0000 0.2060  4 N 2.54
Pm2 0.1782 0.5000 0.1778  1 N 2.29
N1 0.0418 0.5000 0.0417  1 N 1.40
Cl1 0.0000 0.5000 0.5000  4 Pm 2.95
Cl2 0.1662 0.0000 0.4511  4 Pm 2.86-3.12
Cl3 0.1662 0.0000 0.8803  4 Pm 2.86-3.11

Values from the calculation:
For the total magnetization, the calculation gives 0.000 μB per formula unit. For the formation energy from raw total energies, the calculation gives -1723 meV/atom.

***

Material: CeEuTm2
Method: DFT, GGA-PBE
State: relaxed

Cell: 3.4681 3.4681 36.8415 Å, 90.00 90.00 120.00°
Closest atoms and distances in Å follow each position.
Space group R-3m (No. 166, hexagonal axes)
Asymmetric unit:
Ce1 0.0000 0.0000 0.0000  6 Tm 3.40, 6 Ce 3.47
Eu1 0.0000 0.0000 0.5000  2 Tm 3.40, 6 Eu 3.47
Tm1 0.0000 0.0000 0.4078  3 Ce 3.40, 1 Eu 3.40, 6 Tm 3.47

Values from the calculation:
For the total magnetization, the calculation gives 7.343 μB per formula unit. Its total energy is -6.102 eV per atom.

***

Material: CeZrHg2
Method: DFT, GGA-PBE
State: relaxed

Cell: 3.2511 3.2511 8.9088 Å, 90.00 90.00 90.00°
Closest atoms and distances in Å follow each position.
Space group P4/mmm (No. 123)
Asymmetric unit:
Ce1 0.0000 0.0000 0.0000  4 Ce 3.25, 8 Hg 3.31
Zr1 0.0000 0.0000 0.5000  8 Hg 3.10, 4 Zr 3.25
Hg1 0.5000 0.5000 0.2671  4 Zr 3.10, 4 Hg 3.25, 4 Ce 3.31

Values from the calculation:
For the total magnetization, the calculation gives 0.553 μB per formula unit. Its total energy is -3.995 eV per atom.

***

Material: Ca2InP
Method: DFT, GGA-PBE
State: relaxed

Cell: 7.4162 7.4162 7.4162 Å, 90.00 90.00 90.00°
Closest atoms and distances in Å follow each position.
Space group Fm-3m (No. 225)
Asymmetric unit:
Ca1 0.2500 0.2500 0.2500  4 In 3.21, 4 P 3.21
In1 0.0000 0.0000 0.0000  8 Ca 3.21
P1 0.0000 0.0000 0.5000  8 Ca 3.21

Values from the calculation:
For the total magnetization, the calculation gives 0.000 μB per formula unit. Its total energy is -3.502 eV per atom.

***

Material: ScOs3Pd
Method: DFT, GGA-PBE
State: relaxed

Cell: 4.7143 4.7143 4.7143 Å, 90.00 90.00 90.00°
Closest atoms and distances in Å follow each position.
Space group Pm-3m (No. 221)
Asymmetric unit:
Sc1 0.0000 0.0000 0.0000  12 Os 3.33
Os1 0.0000 0.5000 0.5000  2 Pd 2.36
Pd1 0.5000 0.5000 0.5000  6 Os 2.36

Values from the calculation:
For the total magnetization, the calculation gives 3.269 μB per formula unit. Its total energy is -6.984 eV per atom.

***

Material: MnFeIr4
Method: DFT, GGA-PBE
State: relaxed

Cell: 11.4553 2.7074 5.4049 Å, 90.00 103.62 90.00°
Closest atoms and distances in Å follow each position.
Space group C2/m (No. 12)
Asymmetric unit:
Mn1 0.0000 0.0000 0.0000  8 Ir 2.61-2.63, 2 Fe 2.70, 2 Mn 2.71
Fe1 0.0000 0.0000 0.5000  8 Ir 2.61-2.63, 2 Mn 2.70, 2 Fe 2.71
Ir1 0.1598 0.5000 0.3297  2 Mn 2.61, 2 Fe 2.61, 8 Ir 2.70-2.77
Ir2 0.1617 0.5000 0.8312  2 Mn 2.63, 2 Fe 2.63, 8 Ir 2.70-2.76

Values from the calculation:
For the total magnetization, the calculation gives 3.470 μB per formula unit. Its total energy is -8.902 eV per atom.

***

Material: Hg2MoI
Method: DFT, GGA-PBE
State: relaxed

Cell: 9.0789 9.0789 5.8026 Å, 90.00 90.00 90.00°
Closest atoms and distances in Å follow each position.
Space group I-42d (No. 122)
Asymmetric unit:
Hg1 0.1869 0.7500 0.1250  2 Mo 2.93, 2 Hg 3.12
Mo1 0.0000 0.0000 0.0000  2 I 2.90, 4 Hg 2.93
I1 0.0000 0.0000 0.5000  2 Mo 2.90

Values from the calculation:
For the total magnetization, the calculation gives 4.014 μB per formula unit. For the formation energy from raw total energies, the calculation gives 713 meV/atom.

***

Material: PuHfZn2
Method: DFT, GGA-PBE
State: relaxed

Cell: 6.8711 6.8711 6.8711 Å, 90.00 90.00 90.00°
Closest atoms and distances in Å follow each position.
Space group Fm-3m (No. 225)
Asymmetric unit:
Pu1 0.0000 0.0000 0.0000  8 Zn 2.98
Hf1 0.0000 0.0000 0.5000  8 Zn 2.98
Zn1 0.2500 0.2500 0.2500  4 Hf 2.98, 4 Pu 2.98

Values from the calculation:
For the total magnetization, the calculation gives 6.528 μB per formula unit. Its total energy is -6.733 eV per atom.

***

Material: CaPPt3
Method: DFT, GGA-PBE
State: relaxed

Cell: 4.9190 4.9190 4.9190 Å, 90.00 90.00 90.00°
Closest atoms and distances in Å follow each position.
Space group Pm-3m (No. 221)
Asymmetric unit:
Ca1 0.0000 0.0000 0.0000  6 Pt 2.46
P1 0.5000 0.5000 0.5000  12 Pt 3.48
Pt1 0.0000 0.0000 0.5000  2 Ca 2.46

Values from the calculation:
For the total magnetization, the calculation gives 0.000 μB per formula unit. Its total energy is -3.559 eV per atom.